A relaxed structure of BaPrIO6, computed with PBE.

a = 5.870 Å, b = 5.870 Å, c = 5.507 Å
α = 90.00°, β = 90.00°, γ = 60.00°
Atoms (fractional coordinates):
Pr1 0.667 0.667 0.500
O1 0.344 0.060 0.698
O2 0.344 0.596 0.302
Ba1 0.000 0.000 0.000
I1 0.333 0.333 0.500
O3 0.596 0.344 0.698
O4 0.060 0.596 0.698
O5 0.060 0.344 0.302
O6 0.596 0.060 0.302

Calculated values
* VASP energy: -0.22158 hartree per atom
* E_form (uncorrected): -1.81 eV per atom
* magnetization: 0.000 μB/atom